Entry 1:
A geometry-optimized PrTh2PaSb4 structure, computed with GGA-PBE.

Cell lengths 7.7601, 4.4740, 7.7750 Å; angles 90.00, 109.35, 90.00 degrees
Closest atoms and distances in Å follow each position.
Space group P2/m (No. 10)
Symmetry-distinct sites (fractional):
Pr  0.0000  0.0000  0.0000 (multiplicity 1)  6 Sb 3.17-3.18
Th  0.5000  0.0000  0.5000 (multiplicity 1)  6 Sb 3.16-3.17
Th  0.5000  0.5000  0.0000 (multiplicity 1)  6 Sb 3.21-3.22
Pa  0.0000  0.5000  0.5000 (multiplicity 1)  6 Sb 3.12-3.13
Sb  0.2438  0.0000  0.7432 (multiplicity 2)  2 Pa 3.13, 3 Th 3.17-3.21, 1 Pr 3.17
Sb  0.2477  0.5000  0.2550 (multiplicity 2)  1 Pa 3.12, 3 Th 3.16-3.22, 2 Pr 3.18

Computed properties:
ΔE_f (raw): -6.9 eV per formula unit

=====

Entry 2:
A geometry-optimized Pr2ThPaSb4 structure, computed with GGA-PBE.

Cell lengths 7.7822, 4.4896, 7.8022 Å; angles 90.00, 109.38, 90.00 degrees
Closest atoms and distances in Å follow each position.
Space group P2/m (No. 10)
Symmetry-distinct sites (fractional):
Pr  0.0000  0.0000  0.0000 (multiplicity 1)  6 Sb 3.24
Pr  0.5000  0.5000  0.0000 (multiplicity 1)  6 Sb 3.19
Th  0.0000  0.5000  0.5000 (multiplicity 1)  6 Sb 3.17
Pa  0.5000  0.0000  0.5000 (multiplicity 1)  6 Sb 3.12
Sb  0.2531  0.0000  0.7433 (multiplicity 2)  1 Pa 3.12, 2 Th 3.17, 3 Pr 3.19-3.24
Sb  0.2580  0.5000  0.2594 (multiplicity 2)  2 Pa 3.12, 1 Th 3.17, 3 Pr 3.19-3.24

Computed properties:
ΔE_f (raw): -7.5 eV per formula unit

=====

Entry 3:
A geometry-optimized Pr2ScPa structure, computed with GGA-PBE.

Cell lengths 3.3392, 3.3392, 36.7885 Å; angles 90.00, 90.00, 120.00 degrees
Closest atoms and distances in Å follow each position.
Space group R-3m (No. 166, hexagonal axes)
Symmetry-distinct sites (fractional):
Pr  0.0000  0.0000  0.0880 (multiplicity 6)  1 Pa 3.24, 6 Pr 3.34, 3 Sc 3.48
Sc  0.0000  0.0000  0.5000 (multiplicity 3)  6 Sc 3.34, 6 Pr 3.48
Pa  0.0000  0.0000  0.0000 (multiplicity 3)  2 Pr 3.24, 6 Pa 3.34

Computed properties:
Offset from the most stable computed form: 115 meV/atom
Energy of formation: 0.324 eV/atom

=====

Entry 4:
A geometry-optimized PrScPa structure, computed with GGA-PBE.

Cell lengths 5.4439, 9.4473, 6.5906 Å; angles 90.00, 90.00, 90.00 degrees
Closest atoms and distances in Å follow each position.
Space group Cmcm (No. 63)
Symmetry-distinct sites (fractional):
Pr  0.0000  0.1670  0.2500 (multiplicity 4)  5 Sc 3.15-3.30
Sc  0.0000  0.1659  0.7500 (multiplicity 4)  5 Pr 3.15-3.30
Pa  0.0000  0.5000  0.0000 (multiplicity 4)  2 Pa 3.30, 6 Sc 3.55-3.56, 6 Pr 3.55

Computed properties:
Offset from the most stable computed form: 136 meV/atom
Energy of formation: 0.288 eV/atom

=====

Entry 5:
A geometry-optimized PrScPa structure, computed with GGA-PBE.

Cell lengths 3.3333, 3.3333, 15.1342 Å; angles 90.00, 90.00, 90.00 degrees
Closest atoms and distances in Å follow each position.
Space group I4mm (No. 107)
Symmetry-distinct sites (fractional):
Pr  0.0000  0.0000  0.0000 (multiplicity 2)  4 Pr 3.33, 4 Pa 3.46, 4 Sc 3.65
Sc  0.0000  0.0000  0.6843 (multiplicity 2)  4 Pa 3.26, 4 Sc 3.33
Pa  0.0000  0.0000  0.3327 (multiplicity 2)  4 Sc 3.26, 4 Pa 3.33, 4 Pr 3.46

Computed properties:
Offset from the most stable computed form: 26 meV/atom
Energy of formation: 0.179 eV/atom

=====

Entry 6:
A geometry-optimized Pr2ScPa structure, computed with GGA-PBE.

Cell lengths 3.4147, 3.4147, 10.2013 Å; angles 90.00, 90.00, 90.00 degrees
Closest atoms and distances in Å follow each position.
Space group P4/mmm (No. 123)
Symmetry-distinct sites (fractional):
Pr  0.0000  0.0000  0.2453 (multiplicity 2)  4 Pr 3.41, 4 Pa 3.48, 4 Sc 3.55
Sc  0.5000  0.5000  0.5000 (multiplicity 1)  4 Sc 3.41, 8 Pr 3.55
Pa  0.5000  0.5000  0.0000 (multiplicity 1)  4 Pa 3.41, 8 Pr 3.48

Computed properties:
Offset from the most stable computed form: 0 meV/atom
Energy of formation: 0.209 eV/atom

=====

Record-wise spin magnetization values, in μB per formula unit: 0.79, 0.81, 0.00, 0.00, 0.00, 0.14